[1]
! SrSe3 GGA-PBEsol optimized geometry; values from VASP
! SG: P-6m2 (187)
! Total magnetic moment in μB/cell: 0.00
! Uncorrected formation energy in eV per atom: -0.58
! E_tot in eV per cell: -15.702
! Crystal system: hexagonal
&SYSTEM
  ibrav = 0, nat = 4, ntyp = 2
/
ATOMIC_SPECIES
Sr 87.62 Sr.upf
Se 78.96 Se.upf
CELL_PARAMETERS angstrom
4.9747 0.0000 0.0000
-2.4874 4.3082 0.0000
0.0000 0.0000 5.9240
ATOMIC_POSITIONS crystal
Sr 0.0000 0.0000 0.0000
Se 0.0000 0.0000 0.5000
Se 0.6667 0.3333 0.2039
Se 0.6667 0.3333 0.7961

=====

[2]
! Sr2TaSe GGA-PBEsol optimized geometry; values from VASP
! SG: P4mm (99)
! Energy relative to the lowest polymorph listed for this composition in meV/atom: 0
! Total magnetic moment in μB/cell: 0.00
! Uncorrected formation energy in eV per atom: -0.10
! E_tot in eV per cell: -20.481
! Crystal system: tetragonal
&SYSTEM
  ibrav = 0, nat = 4, ntyp = 3
/
ATOMIC_SPECIES
Sr 87.62 Sr.upf
Ta 180.95 Ta.upf
Se 78.96 Se.upf
CELL_PARAMETERS angstrom
3.5060 0.0000 0.0000
0.0000 3.5060 0.0000
0.0000 0.0000 9.1486
ATOMIC_POSITIONS crystal
Sr 0.0000 0.0000 0.0000
Sr 0.5000 0.5000 0.3898
Ta 0.0000 0.0000 0.6459
Se 0.5000 0.5000 0.7585

=====

[3]
! SrTaSe GGA-PBEsol optimized geometry; values from VASP
! SG: I4mm (107)
! Energy relative to the lowest polymorph listed for this composition in meV/atom: 0
! Total magnetic moment in μB/cell: 0.00
! Uncorrected formation energy in eV per atom: -0.24
! E_tot in eV per cell: -18.950
! Crystal system: tetragonal
&SYSTEM
  ibrav = 0, nat = 3, ntyp = 3
/
ATOMIC_SPECIES
Sr 87.62 Sr.upf
Ta 180.95 Ta.upf
Se 78.96 Se.upf
CELL_PARAMETERS angstrom
-1.7130 1.7130 5.9175
1.7130 -1.7130 5.9175
1.7130 1.7130 -5.9175
ATOMIC_POSITIONS crystal
Sr 0.0000 0.0000 0.0000
Ta 0.2981 0.2981 0.0000
Se 0.7102 0.7102 0.0000

=====

[4]
! Sr2TaSe GGA-PBEsol optimized geometry; values from VASP
! SG: Immm (71)
! Energy relative to the lowest polymorph listed for this composition in meV/atom: 548
! Total magnetic moment in μB/cell: 3.73
! Uncorrected formation energy in eV per atom: 0.45
! E_tot in eV per cell: -18.290
! Crystal system: orthorhombic
&SYSTEM
  ibrav = 0, nat = 4, ntyp = 3
/
ATOMIC_SPECIES
Sr 87.62 Sr.upf
Ta 180.95 Ta.upf
Se 78.96 Se.upf
CELL_PARAMETERS angstrom
-2.1415 2.7021 4.9102
2.1415 -2.7021 4.9102
2.1415 2.7021 -4.9102
ATOMIC_POSITIONS crystal
Sr 0.2206 0.2206 0.0000
Sr 0.7794 0.7794 0.0000
Ta 0.5000 0.0000 0.5000
Se 0.0000 0.5000 0.5000

=====

[5]
! Sr2TaSe GGA-PBEsol optimized geometry; values from VASP
! SG: I4/mmm (139)
! Energy relative to the lowest polymorph listed for this composition in meV/atom: 527
! Total magnetic moment in μB/cell: 4.28
! Uncorrected formation energy in eV per atom: 0.43
! E_tot in eV per cell: -18.375
! Crystal system: tetragonal
&SYSTEM
  ibrav = 0, nat = 4, ntyp = 3
/
ATOMIC_SPECIES
Sr 87.62 Sr.upf
Ta 180.95 Ta.upf
Se 78.96 Se.upf
CELL_PARAMETERS angstrom
-2.7405 2.7405 3.8378
2.7405 -2.7405 3.8378
2.7405 2.7405 -3.8378
ATOMIC_POSITIONS crystal
Sr 0.2500 0.7500 0.5000
Sr 0.7500 0.2500 0.5000
Ta 0.0000 0.0000 0.0000
Se 0.5000 0.5000 0.0000

=====

[6]
! SrTaSe GGA-PBEsol optimized geometry; values from VASP
! SG: F-43m (216)
! Energy relative to the lowest polymorph listed for this composition in meV/atom: 1193
! Total magnetic moment in μB/cell: 4.24
! Uncorrected formation energy in eV per atom: 0.96
! E_tot in eV per cell: -15.372
! Crystal system: cubic
&SYSTEM
  ibrav = 0, nat = 3, ntyp = 3
/
ATOMIC_SPECIES
Sr 87.62 Sr.upf
Ta 180.95 Ta.upf
Se 78.96 Se.upf
CELL_PARAMETERS angstrom
0.0000 3.4593 3.4593
3.4593 0.0000 3.4593
3.4593 3.4593 0.0000
ATOMIC_POSITIONS crystal
Sr 0.0000 0.0000 0.0000
Ta 0.2500 0.2500 0.2500
Se 0.5000 0.5000 0.5000

=====

[7]
! Sr2TaSe GGA-PBEsol optimized geometry; values from VASP
! SG: Pmm2 (25)
! Energy relative to the lowest polymorph listed for this composition in meV/atom: 518
! Total magnetic moment in μB/cell: 3.55
! Uncorrected formation energy in eV per atom: 0.42
! E_tot in eV per cell: -18.411
! Crystal system: orthorhombic
&SYSTEM
  ibrav = 0, nat = 4, ntyp = 3
/
ATOMIC_SPECIES
Sr 87.62 Sr.upf
Ta 180.95 Ta.upf
Se 78.96 Se.upf
CELL_PARAMETERS angstrom
4.3403 0.0000 0.0000
0.0000 4.3677 0.0000
0.0000 0.0000 6.5676
ATOMIC_POSITIONS crystal
Sr 0.0000 0.0000 0.0000
Sr 0.5000 0.5000 0.3786
Ta 0.0000 0.0000 0.5098
Se 0.5000 0.5000 0.8923

=====

[8]
! SrTa3Se GGA-PBEsol optimized geometry; values from VASP
! SG: Pm-3m (221)
! Total magnetic moment in μB/cell: 0.00
! Uncorrected formation energy in eV per atom: 2.93
! E_tot in eV per cell: -28.686
! Crystal system: cubic
&SYSTEM
  ibrav = 0, nat = 5, ntyp = 3
/
ATOMIC_SPECIES
Sr 87.62 Sr.upf
Ta 180.95 Ta.upf
Se 78.96 Se.upf
CELL_PARAMETERS angstrom
4.8439 0.0000 0.0000
0.0000 4.8439 0.0000
0.0000 0.0000 4.8439
ATOMIC_POSITIONS crystal
Sr 0.0000 0.0000 0.0000
Ta 0.0000 0.0000 0.5000
Ta 0.0000 0.5000 0.0000
Ta 0.5000 0.0000 0.0000
Se 0.5000 0.5000 0.5000

=====

[9]
! Sr4TaSe GGA-PBEsol optimized geometry; values from VASP
! SG: F-43m (216)
! Total magnetic moment in μB/cell: 3.76
! Uncorrected formation energy in eV per atom: 0.92
! E_tot in eV per cell: -18.272
! Crystal system: cubic
&SYSTEM
  ibrav = 0, nat = 6, ntyp = 3
/
ATOMIC_SPECIES
Sr 87.62 Sr.upf
Ta 180.95 Ta.upf
Se 78.96 Se.upf
CELL_PARAMETERS angstrom
0.0000 4.7179 4.7179
4.7179 0.0000 4.7179
4.7179 4.7179 0.0000
ATOMIC_POSITIONS crystal
Sr 0.1246 0.1246 0.1246
Sr 0.1246 0.1246 0.6263
Sr 0.1246 0.6263 0.1246
Sr 0.6263 0.1246 0.1246
Ta 0.7500 0.7500 0.7500
Se 0.5000 0.5000 0.5000

=====

[10]
! SrTaSe2 GGA-PBEsol optimized geometry; values from VASP
! SG: R-3m (166)
! Total magnetic moment in μB/cell: 0.00
! Uncorrected formation energy in eV per atom: -0.60
! E_tot in eV per cell: -24.481
! Crystal system: trigonal
&SYSTEM
  ibrav = 0, nat = 4, ntyp = 3
/
ATOMIC_SPECIES
Sr 87.62 Sr.upf
Ta 180.95 Ta.upf
Se 78.96 Se.upf
CELL_PARAMETERS angstrom
1.7975 1.0378 9.3257
-1.7975 1.0378 9.3257
0.0000 -2.0755 9.3257
ATOMIC_POSITIONS crystal
Sr 0.0000 0.0000 0.0000
Ta 0.5000 0.5000 0.5000
Se 0.1095 0.1095 0.1095
Se 0.8905 0.8905 0.8905

=====

[11]
! SrTaZn2Se GGA-PBEsol optimized geometry; values from VASP
! SG: P4/mmm (123)
! Total magnetic moment in μB/cell: 3.06
! Uncorrected formation energy in eV per atom: 0.99
! E_tot in eV per cell: -16.460
! Crystal system: tetragonal
&SYSTEM
  ibrav = 0, nat = 5, ntyp = 4
/
ATOMIC_SPECIES
Sr 87.62 Sr.upf
Ta 180.95 Ta.upf
Zn 65.41 Zn.upf
Se 78.96 Se.upf
CELL_PARAMETERS angstrom
4.8578 0.0000 0.0000
0.0000 4.8578 0.0000
0.0000 0.0000 5.4909
ATOMIC_POSITIONS crystal
Sr 0.0000 0.0000 0.0000
Ta 0.5000 0.5000 0.0000
Zn 0.0000 0.5000 0.5000
Zn 0.5000 0.0000 0.5000
Se 0.0000 0.0000 0.5000

=====

[12]
! SrTc2Se GGA-PBEsol optimized geometry; values from VASP
! SG: P4/mmm (123)
! Total magnetic moment in μB/cell: 0.00
! Uncorrected formation energy in eV per atom: 0.61
! E_tot in eV per cell: -25.768
! Crystal system: tetragonal
&SYSTEM
  ibrav = 0, nat = 4, ntyp = 3
/
ATOMIC_SPECIES
Sr 87.62 Sr.upf
Tc 98.00 Tc.upf
Se 78.96 Se.upf
CELL_PARAMETERS angstrom
3.0956 0.0000 0.0000
0.0000 3.0956 0.0000
0.0000 0.0000 7.7630
ATOMIC_POSITIONS crystal
Sr 0.0000 0.0000 0.0000
Tc 0.5000 0.5000 0.3247
Tc 0.5000 0.5000 0.6753
Se 0.0000 0.0000 0.5000

=====

[13]
! SrTc2Se GGA-PBEsol optimized geometry; values from VASP
! SG: P4mm (99)
! Total magnetic moment in μB/cell: 0.00
! Uncorrected formation energy in eV per atom: 0.10
! E_tot in eV per cell: -27.829
! Crystal system: tetragonal
&SYSTEM
  ibrav = 0, nat = 4, ntyp = 3
/
ATOMIC_SPECIES
Sr 87.62 Sr.upf
Tc 98.00 Tc.upf
Se 78.96 Se.upf
CELL_PARAMETERS angstrom
3.1634 0.0000 0.0000
0.0000 3.1634 0.0000
0.0000 0.0000 7.5382
ATOMIC_POSITIONS crystal
Sr 0.0000 0.0000 0.0000
Tc 0.0000 0.0000 0.4826
Tc 0.5000 0.5000 0.3128
Se 0.5000 0.5000 0.6937

=====

[14]
! SrTcSe2 GGA-PBEsol optimized geometry; values from VASP
! SG: I-42d (122)
! Energy relative to the lowest polymorph listed for this composition in meV/atom: 0
! Total magnetic moment in μB/cell: 0.00
! Uncorrected formation energy in eV per atom: -0.51
! E_tot in eV per cell: -45.704
! Crystal system: tetragonal
&SYSTEM
  ibrav = 0, nat = 8, ntyp = 3
/
ATOMIC_SPECIES
Sr 87.62 Sr.upf
Tc 98.00 Tc.upf
Se 78.96 Se.upf
CELL_PARAMETERS angstrom
-2.9248 2.9248 6.5368
2.9248 -2.9248 6.5368
2.9248 2.9248 -6.5368
ATOMIC_POSITIONS crystal
Sr 0.0000 0.0000 0.0000
Sr 0.7500 0.2500 0.5000
Tc 0.2500 0.7500 0.5000
Tc 0.5000 0.5000 0.0000
Se 0.2154 0.6250 0.0904
Se 0.3750 0.4654 0.5904
Se 0.5346 0.1250 0.9096
Se 0.8750 0.7846 0.4096